Entry 1:
VASP calculation (GGA-PBEsol) on a relaxed structure of LaBeNi2.

a = 5.3033 Å, b = 5.3033 Å, c = 5.3033 Å
α = 43.00°, β = 43.00°, γ = 43.00°
With the nearest neighbours (Å) after each atom.
Fractional coordinates of all 4 atoms:
La (0.0000, 0.0000, 0.0000)  8 Ni 2.84-2.98
Be (0.5000, 0.5000, 0.5000)  6 Ni 2.29
Ni (0.1970, 0.1970, 0.1970)  3 Be 2.29, 3 Ni 2.41
Ni (0.8030, 0.8030, 0.8030)  3 Be 2.29, 3 Ni 2.41

Results
* space-group type: R-3m, No. 166
* ΔE_f: -317 meV/atom



Entry 2:
VASP calculation (GGA-PBEsol) on a relaxed structure of LaFeOs2.

a = 3.9958 Å, b = 3.9958 Å, c = 4.1908 Å
α = 90.00°, β = 90.00°, γ = 90.00°
With the nearest neighbours (Å) after each atom.
Fractional coordinates of all 4 atoms:
La (0.0000, 0.0000, 0.0000)  4 Fe 2.83, 8 Os 2.90
Fe (0.5000, 0.5000, 0.0000)  4 La 2.83, 8 Os 2.90
Os (0.0000, 0.5000, 0.5000)  4 Os 2.83, 4 La 2.90, 4 Fe 2.90
Os (0.5000, 0.0000, 0.5000)  4 Os 2.83, 4 La 2.90, 4 Fe 2.90

Results
* space-group type: P4/mmm, No. 123
* energy above the lowest structure with this stoichiometry: 300 meV/atom
* ΔE_f: 763 meV/atom



Entry 3:
VASP calculation (GGA-PBEsol) on a relaxed structure of KSrBP2O8.

a = 7.0802 Å, b = 7.0802 Å, c = 8.4458 Å
α = 112.53°, β = 112.53°, γ = 90.33°
With the nearest neighbours (Å) after each atom.
Fractional coordinates of all 26 atoms:
K (0.0827, 0.9173, 0.5000)  7 O 2.77-2.97
K (0.9173, 0.0827, 0.0000)  7 O 2.77-2.97
Sr (0.3960, 0.7865, 0.9781)  5 O 2.42-2.63
Sr (0.7865, 0.3960, 0.4781)  5 O 2.42-2.63
B (0.2639, 0.5644, 0.2193)  4 O 1.45-1.47
B (0.5644, 0.2639, 0.7193)  4 O 1.45-1.47
P (0.2735, 0.4161, 0.4865)  4 O 1.52-1.58
P (0.4161, 0.2735, 0.9865)  4 O 1.52-1.58
P (0.5915, 0.8949, 0.4663)  4 O 1.51-1.59
P (0.8949, 0.5915, 0.9663)  4 O 1.51-1.59
O (0.0194, 0.6667, 0.8830)  1 P 1.52
O (0.0393, 0.5608, 0.1483)  1 B 1.46, 1 P 1.58
O (0.0842, 0.2494, 0.4041)  1 P 1.52
O (0.2494, 0.0842, 0.9041)  1 P 1.52
O (0.2584, 0.6223, 0.6252)  1 P 1.52
O (0.3193, 0.4384, 0.3251)  1 B 1.45, 1 P 1.58
O (0.3381, 0.4828, 0.0701)  1 B 1.47, 1 P 1.58
O (0.3582, 0.7860, 0.3243)  1 B 1.47, 1 P 1.59
O (0.4384, 0.3193, 0.8251)  1 B 1.45, 1 P 1.58
O (0.4828, 0.3381, 0.5701)  1 B 1.47, 1 P 1.58
O (0.5608, 0.0393, 0.6483)  1 B 1.46, 1 P 1.58
O (0.6223, 0.2584, 0.1252)  1 P 1.52
O (0.6667, 0.0194, 0.3830)  1 P 1.52
O (0.7275, 0.7431, 0.5117)  1 P 1.51
O (0.7431, 0.7275, 0.0117)  1 P 1.51
O (0.7860, 0.3582, 0.8243)  1 B 1.47, 1 P 1.59

Results
* space-group type: Cc, No. 9
* ΔE_f (raw): -2.563 eV per atom



Number 1: theoretical density 7.005 g/cm3, total magnetization 0.00 μB/cell, uncorrected energy -22.93 eV/f.u.. Number 2: theoretical density 14.275 g/cm3, total magnetization 2.30 μB/cell, uncorrected energy -35.69 eV/f.u.. Number 3: theoretical density 3.060 g/cm3, total magnetization 0.00 μB/cell, uncorrected energy -96.89 eV/f.u..